[1]
Entry from Alexandria: a relaxed Ce3AlSi3 crystal (GGA-PBE).

Output
* space group: P6_3/m, No. 176
* energy: -5.768 eV per atom
* ΔE_f (raw): -0.366 eV per atom
* D(E_F): 2.207 states/eV/atom
* energy above the lowest structure with this stoichiometry: 245 meV per atom
* M_tot: 3.7 μB per cell
* volume: 26.5 Å³/atom

Lattice parameters (Å, degrees): 5.8801 8.5433 8.5433 120.00 90.00 90.00
Fractional positions:
Ce 0.7500 0.6923 0.6127
Ce 0.7500 0.3873 0.0797
Ce 0.7500 0.9203 0.3077
Ce 0.2500 0.3077 0.3873
Ce 0.2500 0.6127 0.9203
Ce 0.2500 0.0797 0.6923
Al 0.2500 0.6667 0.3333
Al 0.7500 0.3333 0.6667
Si 0.2500 0.7102 0.6415
Si 0.2500 0.3585 0.0686
Si 0.2500 0.9314 0.2898
Si 0.7500 0.2898 0.3585
Si 0.7500 0.6415 0.9314
Si 0.7500 0.0686 0.7102



[2]
Entry from Alexandria: a relaxed CeAlSi2 crystal (GGA-PBE).

Output
* space group: P4/mmm, No. 123
* energy: -5.516 eV per atom
* ΔE_f (raw): -0.386 eV per atom
* D(E_F): 1.061 states/eV/atom
* M_tot: 0.0 μB per cell
* volume: 18.7 Å³/atom

Lattice parameters (Å, degrees): 4.0313 4.3095 4.3095 90.00 90.00 90.00
Fractional positions:
Si 0.0000 0.0000 0.5000
Si 0.0000 0.5000 0.0000
Al 0.5000 0.5000 0.5000
Ce 0.5000 0.0000 0.0000



[3]
Entry from Alexandria: a relaxed Ce3AlSi2 crystal (GGA-PBE).

Output
* space group: Pnma, No. 62
* energy: -5.915 eV per atom
* ΔE_f (raw): -0.517 eV per atom
* D(E_F): 2.207 states/eV/atom
* energy above the lowest structure with this stoichiometry: 0 meV per atom
* M_tot: 8.9 μB per cell
* volume: 22.6 Å³/atom

Lattice parameters (Å, degrees): 4.1370 10.7326 12.2064 90.00 90.00 90.00
Fractional positions:
Ce 0.2500 0.4088 0.0420
Ce 0.7500 0.5912 0.9580
Ce 0.7500 0.9088 0.4580
Ce 0.2500 0.0912 0.5420
Ce 0.2500 0.7331 0.2103
Ce 0.7500 0.2669 0.7897
Ce 0.7500 0.2331 0.2897
Ce 0.2500 0.7669 0.7103
Ce 0.2500 0.4224 0.3739
Ce 0.7500 0.5776 0.6261
Ce 0.7500 0.9224 0.1261
Ce 0.2500 0.0776 0.8739
Al 0.2500 0.1357 0.1255
Al 0.7500 0.8643 0.8745
Al 0.7500 0.6357 0.3745
Al 0.2500 0.3643 0.6255
Si 0.2500 0.7006 0.4720
Si 0.7500 0.2994 0.5280
Si 0.7500 0.2006 0.0280
Si 0.2500 0.7994 0.9720
Si 0.2500 0.0141 0.2988
Si 0.7500 0.9859 0.7012
Si 0.7500 0.5141 0.2012
Si 0.2500 0.4859 0.7988



[4]
Entry from Alexandria: a relaxed Ce4AlSi2 crystal (GGA-PBE).

Output
* space group: R-3m, No. 166
* energy: -5.734 eV per atom
* ΔE_f (raw): -0.259 eV per atom
* D(E_F): 2.702 states/eV/atom
* M_tot: 2.3 μB per cell
* volume: 26.4 Å³/atom

Lattice parameters (Å, degrees): 4.7478 4.7478 9.8642 76.07 76.07 60.00
Fractional positions:
Ce 0.3850 0.3850 0.8451
Ce 0.1981 0.1981 0.4058
Ce 0.8019 0.8019 0.5942
Ce 0.6150 0.6150 0.1549
Al 0.0000 0.0000 0.0000
Si 0.0933 0.0933 0.7201
Si 0.9067 0.9067 0.2799



[5]
Entry from Alexandria: a relaxed CeAlSi2 crystal (GGA-PBE).

Output
* space group: P-3m1, No. 164
* energy: -5.613 eV per atom
* ΔE_f (raw): -0.482 eV per atom
* D(E_F): 1.196 states/eV/atom
* M_tot: 1.0 μB per cell
* volume: 20.3 Å³/atom

Lattice parameters (Å, degrees): 4.1412 4.1412 10.9303 90.00 90.00 120.00
Fractional positions:
Ce 0.0000 0.0000 0.8211
Ce 0.0000 0.0000 0.1789
Al 0.6667 0.3333 0.4143
Al 0.3333 0.6667 0.5857
Si 0.3333 0.6667 0.9960
Si 0.6667 0.3333 0.0040
Si 0.3333 0.6667 0.3510
Si 0.6667 0.3333 0.6490



[6]
Entry from Alexandria: a relaxed Ce2Al3Si4 crystal (GGA-PBE).

Output
* space group: Cmce, No. 64
* energy: -5.396 eV per atom
* ΔE_f (raw): -0.419 eV per atom
* D(E_F): 1.084 states/eV/atom
* M_tot: 2.1 μB per cell
* volume: 18.6 Å³/atom

Lattice parameters (Å, degrees): 5.8140 7.7403 7.9701 90.00 111.39 90.00
Fractional positions:
Ce 0.1120 0.5841 0.2239
Ce 0.8880 0.4159 0.7761
Ce 0.3880 0.0841 0.7761
Ce 0.6120 0.9159 0.2239
Al 0.0000 0.0000 0.0000
Al 0.5000 0.5000 0.0000
Al 0.5336 0.7500 0.5672
Al 0.9664 0.2500 0.4328
Al 0.4664 0.2500 0.4328
Al 0.0336 0.7500 0.5672
Si 0.7014 0.7500 0.9028
Si 0.7986 0.2500 0.0972
Si 0.2986 0.2500 0.0972
Si 0.2014 0.7500 0.9028
Si 0.1841 0.9529 0.3683
Si 0.8159 0.0471 0.6317
Si 0.3159 0.4529 0.6317
Si 0.6841 0.5471 0.3683